Record 1
VASP calculation (PBEsol) on crystalline MnNi2Bi2 at its relaxed geometry.

a b c (Å): 3.4336 3.4336 15.7404
angles (deg): 90.00 90.00 90.00
Closest atoms and distances in Å follow each position.
Space group I4/mmm (No. 139)
Unique sites:
Mn  0.0000  0.0000  0.0000 x2  8 Bi 3.06
Ni  0.0000  0.5000  0.2500 x4  4 Ni 2.43, 4 Bi 2.69
Bi  0.0000  0.0000  0.3818 x4  4 Ni 2.69

Computed properties:
Energy relative to the elements ... 386 meV per atom
Total magnetic moment ... 7.27 μB/cell
VASP energy ... -5.7431 eV per atom

***

Record 2
VASP calculation (PBEsol) on crystalline MnNiBi2O6 at its relaxed geometry.

a b c (Å): 9.3432 5.3428 9.4998
angles (deg): 90.00 107.53 90.00
Closest atoms and distances in Å follow each position.
Space group C2/c (No. 15)
Unique sites:
Mn  0.2500  0.2500  0.0000 x4  6 O 1.89-1.93
Ni  0.0000  0.2334  0.2500 x4  6 O 2.01-2.04
Bi  0.1302  0.2368  0.6226 x8  5 O 2.27-2.54
O  0.0897  0.1983  0.0836 x8  1 Mn 1.91, 1 Ni 2.01
O  0.1504  0.0355  0.8429 x8  1 Mn 1.89, 1 Ni 2.02
O  0.1577  0.4610  0.3864 x8  1 Mn 1.93, 1 Ni 2.04

Computed properties:
ΔE_f (raw) ... -1264 meV per atom
Total magnetic moment ... 19.81 μB/cell
VASP energy ... -6.8629 eV per atom

***

Record 3
VASP calculation (PBEsol) on crystalline MnNiBi2O6 at its relaxed geometry.

a b c (Å): 5.3397 5.5345 9.2756
angles (deg): 90.00 124.82 90.00
Closest atoms and distances in Å follow each position.
Space group P2_1/c (No. 14)
Unique sites:
Mn  0.0000  0.0000  0.0000 x2  6 O 1.91-1.92
Ni  0.5000  0.0000  0.5000 x2  6 O 2.00-2.04
Bi  0.2610  0.0567  0.7511 x4  7 O 2.32-2.59
O  0.1610  0.0212  0.2443 x4  1 Mn 1.91, 1 Ni 2.00
O  0.2362  0.7136  0.0416 x4  1 Mn 1.92, 1 Ni 2.04
O  0.3300  0.1967  0.0387 x4  1 Mn 1.92, 1 Ni 2.04

Computed properties:
ΔE_f (raw) ... -1274 meV per atom
Total magnetic moment ... 9.93 μB/cell
VASP energy ... -6.8727 eV per atom

***

Record 4
VASP calculation (PBEsol) on crystalline Mn2Bi3O7 at its relaxed geometry.

a b c (Å): 20.3336 5.6779 5.6251
angles (deg): 90.00 90.00 90.00
Closest atoms and distances in Å follow each position.
Space group Cmc2_1 (No. 36)
Unique sites:
Mn  0.1038  0.2355  0.0000 x8  5 O 1.96-2.13
Bi  0.0000  0.3338  0.5815 x4  4 O 2.25-2.31
Bi  0.1840  0.2725  0.4742 x8  5 O 2.28-2.52
O  0.0000  0.2726  0.9770 x4  2 Mn 2.13, 2 Bi 2.25-2.31
O  0.0935  0.4914  0.7360 x8  2 Mn 2.05-2.09, 1 Bi 2.27
O  0.1201  0.0063  0.7467 x8  2 Mn 1.96-1.98
O  0.2106  0.3330  0.0637 x8  1 Mn 2.27, 3 Bi 2.28-2.40

Computed properties:
ΔE_f (raw) ... -1268 meV per atom
Total magnetic moment ... 35.55 μB/cell
VASP energy ... -7.0280 eV per atom